The following is a GGA-PBE calculation of a geometry-optimized InAu2Se structure, from Alexandria.

Cell and atoms, written as extended XYZ:
```
4
Lattice="-2.687 2.139 -1.488 -0.120 -2.341 -3.148 -4.237 -3.972 1.943" Properties=species:S:1:pos:R:3 pbc="T T T"
In -2.299 -3.188 -0.431
Se -4.437 -3.887 -2.282
Au -2.121 -0.316 -1.333
Au -0.487 -2.280 -2.397
```

Computed properties:
SG: Pm, No. 6
DOS(E_F) in states/eV/atom: 0.340



The following is a GGA-PBE calculation of a geometry-optimized FeBrCl3 structure, from Alexandria.

Cell and atoms, written as extended XYZ:
```
10
Lattice="-3.939 3.272 -1.853 -6.521 -2.987 8.584 0.192 6.604 2.444" Properties=species:S:1:pos:R:3 pbc="T T T"
Cl -0.561 4.691 2.376
Br -6.441 3.097 7.118
Fe -7.908 2.140 5.670
Cl -2.622 0.180 1.715
Cl -2.775 3.677 5.290
Fe -2.360 4.748 3.504
Br -3.827 3.792 2.057
Cl -9.707 2.198 6.799
Cl -7.646 6.709 7.460
Cl -7.493 3.212 3.884
```

Computed properties:
SG: P2_1/m, No. 11



The following is a GGA-PBE calculation of a geometry-optimized RbTi6O12 structure, from Alexandria.

Cell and atoms, written as extended XYZ:
```
19
Lattice="6.165 -0.029 -0.041 -1.557 5.965 -0.041 -1.557 -2.005 5.618" Properties=species:S:1:pos:R:3 pbc="T T T"
Ti 0.140 0.181 3.463
O 1.526 -1.030 4.895
O 1.254 3.745 3.017
O -1.376 1.223 4.895
O 1.526 4.961 0.641
O 1.798 0.186 2.518
O 4.428 2.708 0.641
Rb 0.000 0.000 0.000
O 1.798 2.316 1.006
Ti -0.023 2.999 4.224
O -0.265 1.788 2.518
Ti 3.075 0.931 1.312
O -1.376 4.219 2.768
Ti 2.911 0.721 4.224
O 3.317 2.143 3.017
Ti 0.140 3.209 1.312
O 1.254 1.615 4.530
O 4.428 -0.288 2.768
Ti 2.911 3.750 2.073
```

Computed properties:
SG: R-3m, No. 166
DOS(E_F) in states/eV/atom: 0.313



Q: Which E_form (uncorrected) values were calculated for the entries above? A: -0.05; -0.51; -2.60, in eV/atom.
Q: Which spin magnetization values were calculated for the entries above? A: 0.00; 8.00; 1.09, in μB/cell.
Q: Which relative energy among the computed polymorphs values were calculated for the entries above? A: 57; 0; 164, in meV/atom.